(1)
Here is a relaxed structure of Ir6OsRh3 from Alexandria via LeMat-Bulk. Energies are from PBE.

Unit cell a=4.7298 b=4.7298 c=8.2638 alpha=90.00 beta=90.00 gamma=120.00
Positions (direct):
Ir: 0.0000 0.3545 0.2700
Ir: 0.0000 0.6455 0.7300
Ir: 0.3545 0.0000 0.2700
Ir: 0.3545 0.3545 0.7300
Ir: 0.6455 0.0000 0.7300
Ir: 0.6455 0.6455 0.2700
Os: 0.0000 0.0000 0.5000
Rh: 0.0000 0.0000 0.0000
Rh: 0.3333 0.6667 0.0000
Rh: 0.6667 0.3333 0.0000

The calculation puts the energy of formation at 425 meV per atom. The space group is P-31m (162).

=====

(2)
Here is a relaxed structure of U2GaSb from Alexandria via LeMat-Bulk. Energies are from PBE.

Unit cell a=4.4832 b=4.4832 c=4.5481 alpha=90.00 beta=90.00 gamma=90.00
Positions (direct):
U: 0.0000 0.5000 0.0000
U: 0.5000 0.0000 0.0000
Ga: 0.0000 0.0000 0.5000
Sb: 0.5000 0.5000 0.5000

The value obtained for the formation energy (no corrections) is -0.04 eV/atom. The space group is P4/mmm (123).

=====

(3)
Here is a relaxed structure of Sc2Ni2Pd from Alexandria via LeMat-Bulk. Energies are from PBE.

Unit cell a=7.2685 b=7.2685 c=3.0840 alpha=90.00 beta=90.00 gamma=90.00
Positions (direct):
Sc: 0.1623 0.3377 0.0000
Sc: 0.3377 0.8377 0.0000
Sc: 0.6623 0.1623 0.0000
Sc: 0.8377 0.6623 0.0000
Ni: 0.1301 0.6301 0.5000
Ni: 0.3699 0.1301 0.5000
Ni: 0.6301 0.8699 0.5000
Ni: 0.8699 0.3699 0.5000
Pd: 0.0000 0.0000 0.0000
Pd: 0.5000 0.5000 0.0000

The calculation puts the energy of formation at -377 meV per atom. The space group is P4/mbm (127).